(1)
5
Lattice="4.556 0.000 0.000 0.000 4.556 0.000 0.000 0.000 4.556" Properties=species:S:1:pos:R:3 comment="PBE ZnNiPt3, optimized geometry" de_polymorph_mev_per_atom=1118 spacegroup="Pm-3m (221)" pbc="T T T"
Zn 0.000 0.000 0.000
Ni 2.278 2.278 2.278
Pt 0.000 2.278 2.278
Pt 2.278 0.000 2.278
Pt 2.278 2.278 0.000



(2)
8
Lattice="8.660 0.000 0.000 0.000 2.721 0.000 -0.875 0.000 4.391" Properties=species:S:1:pos:R:3 comment="PBE ZnNi2Pt, optimized geometry" spacegroup="C2/m (12)" pbc="T T T"
Zn 0.000 0.000 0.000
Zn 4.330 1.360 0.000
Ni 1.941 1.360 1.091
Ni 1.514 0.000 3.300
Ni 6.271 0.000 1.091
Ni 5.843 1.360 3.300
Pt -0.437 1.360 2.195
Pt 3.892 0.000 2.195



(3)
24
Lattice="2.153 -5.946 0.000 2.153 5.946 0.000 -1.705 0.000 12.070" Properties=species:S:1:pos:R:3 comment="PBE Zn2Ni3Pt, optimized geometry" spacegroup="C2/c (15)" pbc="T T T"
Zn -1.247 1.017 11.489
Zn 0.812 4.306 7.784
Zn -0.395 -1.017 5.454
Zn 0.936 4.306 10.321
Zn 1.665 -4.306 1.749
Zn 2.995 1.017 6.616
Zn 1.788 -4.306 4.286
Zn 3.848 -1.017 0.581
Ni 1.726 5.183 3.017
Ni 1.701 2.881 1.829
Ni 0.925 2.181 6.534
Ni 1.752 2.881 4.206
Ni 0.874 2.098 9.052
Ni 0.823 2.181 11.571
Ni 1.777 -2.181 0.499
Ni 1.726 -2.098 3.017
Ni 0.848 -2.881 7.864
Ni 1.676 -2.181 5.536
Ni 0.900 -2.881 10.241
Ni 0.874 -5.183 9.052
Pt 1.681 0.197 1.633
Pt 0.828 -0.197 7.668
Pt 1.772 0.197 4.402
Pt 0.920 -0.197 10.437



(4)
16
Lattice="6.716 0.000 0.000 0.000 6.716 0.000 0.000 0.000 5.237" Properties=species:S:1:pos:R:3 comment="PBE Zn2NiPt, optimized geometry" spacegroup="I-42d (122)" pbc="T T T"
Zn 1.569 5.037 0.655
Zn 1.679 1.569 4.583
Zn 1.679 1.789 1.964
Zn 1.789 5.037 3.273
Zn 4.927 1.679 3.273
Zn 5.037 4.927 1.964
Zn 5.037 5.147 4.583
Zn 5.147 1.679 0.655
Ni 0.000 0.000 0.000
Ni 0.000 3.358 1.309
Ni 3.358 0.000 3.928
Ni 3.358 3.358 2.619
Pt 0.000 0.000 2.619
Pt 0.000 3.358 3.928
Pt 3.358 0.000 1.309
Pt 3.358 3.358 0.000



(5)
12
Lattice="4.173 0.000 0.000 -2.087 3.614 0.000 0.000 0.000 10.258" Properties=species:S:1:pos:R:3 comment="PBE ZnNi2Pt, optimized geometry" spacegroup="R3m (160)" pbc="T T T"
Zn 0.000 0.000 0.000
Zn 0.000 2.410 6.838
Zn 2.087 1.205 3.419
Ni 0.000 0.000 2.564
Ni 0.000 0.000 5.135
Ni 0.000 2.410 1.716
Ni 0.000 2.410 9.403
Ni 2.087 1.205 5.984
Ni 2.087 1.205 8.554
Pt 0.000 0.000 7.698
Pt 0.000 2.410 4.278
Pt 2.087 1.205 0.859



(6)
16
Lattice="4.038 0.000 0.000 0.000 4.038 0.000 0.000 0.000 14.072" Properties=species:S:1:pos:R:3 comment="PBE Zn3NiPt4, optimized geometry" spacegroup="I4/mmm (139)" pbc="T T T"
Zn 0.000 0.000 0.000
Zn 0.000 0.000 3.514
Zn 0.000 0.000 10.557
Zn 2.019 2.019 3.522
Zn 2.019 2.019 7.036
Zn 2.019 2.019 10.550
Ni 0.000 0.000 7.036
Ni 2.019 2.019 0.000
Pt 0.000 2.019 1.741
Pt 0.000 2.019 5.295
Pt 0.000 2.019 8.777
Pt 0.000 2.019 12.331
Pt 2.019 0.000 1.741
Pt 2.019 0.000 5.295
Pt 2.019 0.000 8.777
Pt 2.019 0.000 12.331



Looking at DFT formation energy for the records above, in order, we have 4.21, -0.74, -0.64, -0.12, -0.71, -3.59 eV/f.u..